Record 1
Entry from the Alexandria database: a relaxed SmEr3Ga crystal (GGA-PBE). Values from VASP.

Space-group type = No. 12
Theoretical density = 7.8 Mg/m³
ΔE_f = -73 meV/atom

Geometry as Quantum ESPRESSO input:
```
&SYSTEM
  ibrav = 0, nat = 10, ntyp = 3
/
ATOMIC_SPECIES
Sm 150.36 Sm.upf
Er 167.26 Er.upf
Ga 69.72 Ga.upf
ATOMIC_POSITIONS crystal
Sm 0.053 0.053 0.323
Sm 0.947 0.947 0.677
Er 0.102 0.489 0.260
Er 0.429 0.429 0.732
Er 0.489 0.102 0.260
Er 0.511 0.898 0.740
Er 0.571 0.571 0.268
Er 0.898 0.511 0.740
Ga 0.263 0.263 0.902
Ga 0.737 0.737 0.098
CELL_PARAMETERS angstrom
5.907 -4.370 0.000
5.907 4.370 0.000
-4.795 0.000 5.974
```


Record 2
Entry from the Alexandria database: a relaxed SmEr2Ga3 crystal (GGA-PBE). Values from VASP.

Space-group type = No. 65
Theoretical density = 7.6 Mg/m³
ΔE_f = -321 meV/atom

Geometry as Quantum ESPRESSO input:
```
&SYSTEM
  ibrav = 0, nat = 6, ntyp = 3
/
ATOMIC_SPECIES
Sm 150.36 Sm.upf
Er 167.26 Er.upf
Ga 69.72 Ga.upf
ATOMIC_POSITIONS crystal
Sm 0.000 0.000 0.000
Er 0.334 0.666 0.000
Er 0.666 0.334 0.000
Ga 0.000 0.500 0.500
Ga 0.500 0.000 0.500
Ga 0.500 0.500 0.500
CELL_PARAMETERS angstrom
3.018 -5.258 0.000
3.018 5.258 0.000
0.000 0.000 4.779
```


Record 3
Entry from the Alexandria database: a relaxed Sm4ErGa5 crystal (GGA-PBE). Values from VASP.

Space-group type = No. 123
Theoretical density = 7.8 Mg/m³
ΔE_f = -574 meV/atom

Geometry as Quantum ESPRESSO input:
```
&SYSTEM
  ibrav = 0, nat = 10, ntyp = 3
/
ATOMIC_SPECIES
Sm 150.36 Sm.upf
Er 167.26 Er.upf
Ga 69.72 Ga.upf
ATOMIC_POSITIONS crystal
Sm 0.000 0.000 0.101
Sm 0.000 0.000 0.305
Sm 0.000 0.000 0.695
Sm 0.000 0.000 0.899
Er 0.000 0.000 0.500
Ga 0.500 0.500 0.000
Ga 0.500 0.500 0.203
Ga 0.500 0.500 0.408
Ga 0.500 0.500 0.592
Ga 0.500 0.500 0.797
CELL_PARAMETERS angstrom
3.621 0.000 0.000
0.000 3.621 0.000
0.000 0.000 18.167
```


Record 4
Entry from the Alexandria database: a relaxed Sm2ErGa crystal (GGA-PBE). Values from VASP.

Space-group type = No. 225
ΔE to the lowest computed polymorph = 165 meV per atom
Theoretical density = 8.1 Mg/m³
ΔE_f = -99 meV/atom

Geometry as Quantum ESPRESSO input:
```
&SYSTEM
  ibrav = 0, nat = 4, ntyp = 3
/
ATOMIC_SPECIES
Sm 150.36 Sm.upf
Er 167.26 Er.upf
Ga 69.72 Ga.upf
ATOMIC_POSITIONS crystal
Sm 0.250 0.250 0.250
Sm 0.750 0.750 0.750
Er 0.000 0.000 0.000
Ga 0.500 0.500 0.500
CELL_PARAMETERS angstrom
0.000 3.800 3.800
3.800 0.000 3.800
3.800 3.800 0.000
```


Record 5
Entry from the Alexandria database: a relaxed Sm4Er3Ga4 crystal (GGA-PBE). Values from VASP.

Space-group type = No. 71
Theoretical density = 7.9 Mg/m³
ΔE_f = -411 meV/atom

Geometry as Quantum ESPRESSO input:
```
&SYSTEM
  ibrav = 0, nat = 11, ntyp = 3
/
ATOMIC_SPECIES
Sm 150.36 Sm.upf
Er 167.26 Er.upf
Ga 69.72 Ga.upf
ATOMIC_POSITIONS crystal
Sm 0.013 0.835 0.178
Sm 0.344 0.165 0.178
Sm 0.656 0.835 0.822
Sm 0.987 0.165 0.822
Er 0.000 0.500 0.500
Er 0.407 0.407 0.000
Er 0.593 0.593 0.000
Ga 0.277 0.000 0.277
Ga 0.277 0.777 0.500
Ga 0.723 0.000 0.723
Ga 0.723 0.223 0.500
CELL_PARAMETERS angstrom
-1.765 4.512 9.096
1.765 -4.512 9.096
1.765 4.512 -9.096
```


Record 6
Entry from the Alexandria database: a relaxed SmEr6Ga3 crystal (GGA-PBE). Values from VASP.

Space-group type = No. 36
Theoretical density = 8.2 Mg/m³
ΔE_f = -309 meV/atom

Geometry as Quantum ESPRESSO input:
```
&SYSTEM
  ibrav = 0, nat = 20, ntyp = 3
/
ATOMIC_SPECIES
Sm 150.36 Sm.upf
Er 167.26 Er.upf
Ga 69.72 Ga.upf
ATOMIC_POSITIONS crystal
Sm 0.169 0.831 0.500
Sm 0.831 0.169 0.000
Er 0.091 0.444 0.722
Er 0.099 0.233 0.363
Er 0.233 0.099 0.863
Er 0.277 0.723 0.017
Er 0.444 0.091 0.222
Er 0.465 0.535 0.344
Er 0.535 0.465 0.844
Er 0.556 0.909 0.722
Er 0.723 0.277 0.517
Er 0.767 0.901 0.363
Er 0.901 0.767 0.863
Er 0.909 0.556 0.222
Ga 0.071 0.929 0.165
Ga 0.219 0.379 0.062
Ga 0.379 0.219 0.562
Ga 0.621 0.781 0.062
Ga 0.781 0.621 0.562
Ga 0.929 0.071 0.665
CELL_PARAMETERS angstrom
5.296 -6.338 0.000
5.296 6.338 0.000
0.000 0.000 8.208
```


Record 7
Entry from the Alexandria database: a relaxed Sm2Er3Ga2 crystal (GGA-PBE). Values from VASP.

Space-group type = No. 12
Theoretical density = 8.0 Mg/m³
ΔE_f = -315 meV/atom

Geometry as Quantum ESPRESSO input:
```
&SYSTEM
  ibrav = 0, nat = 7, ntyp = 3
/
ATOMIC_SPECIES
Sm 150.36 Sm.upf
Er 167.26 Er.upf
Ga 69.72 Ga.upf
ATOMIC_POSITIONS crystal
Sm 0.149 0.149 0.307
Sm 0.851 0.851 0.693
Er 0.379 0.379 0.061
Er 0.500 0.500 0.500
Er 0.621 0.621 0.939
Ga 0.170 0.170 0.713
Ga 0.830 0.830 0.287
CELL_PARAMETERS angstrom
6.026 -2.081 0.000
6.026 2.081 0.000
-3.390 0.000 7.825
```


Record 8
Entry from the Alexandria database: a relaxed Sm2ErGa crystal (GGA-PBE). Values from VASP.

Space-group type = No. 123
ΔE to the lowest computed polymorph = 30 meV per atom
Theoretical density = 8.2 Mg/m³
ΔE_f = -234 meV/atom

Geometry as Quantum ESPRESSO input:
```
&SYSTEM
  ibrav = 0, nat = 4, ntyp = 3
/
ATOMIC_SPECIES
Sm 150.36 Sm.upf
Er 167.26 Er.upf
Ga 69.72 Ga.upf
ATOMIC_POSITIONS crystal
Sm 0.000 0.500 0.000
Sm 0.500 0.000 0.000
Er 0.000 0.000 0.500
Ga 0.500 0.500 0.500
CELL_PARAMETERS angstrom
4.757 0.000 0.000
0.000 4.757 0.000
0.000 0.000 4.793
```


Record 9
Entry from the Alexandria database: a relaxed SmEr3Ga2 crystal (GGA-PBE). Values from VASP.

Space-group type = No. 26
ΔE to the lowest computed polymorph = 0 meV per atom
Theoretical density = 8.6 Mg/m³
ΔE_f = -424 meV/atom

Geometry as Quantum ESPRESSO input:
```
&SYSTEM
  ibrav = 0, nat = 12, ntyp = 3
/
ATOMIC_SPECIES
Sm 150.36 Sm.upf
Er 167.26 Er.upf
Ga 69.72 Ga.upf
ATOMIC_POSITIONS crystal
Sm 0.000 0.050 0.000
Sm 0.000 0.950 0.500
Er 0.000 0.323 0.629
Er 0.000 0.677 0.129
Er 0.500 0.187 0.292
Er 0.500 0.447 0.923
Er 0.500 0.553 0.423
Er 0.500 0.813 0.792
Ga 0.000 0.363 0.172
Ga 0.000 0.637 0.672
Ga 0.500 0.140 0.746
Ga 0.500 0.860 0.246
CELL_PARAMETERS angstrom
4.911 0.000 0.000
0.000 9.474 0.000
0.000 0.000 6.602
```


Record 10
Entry from the Alexandria database: a relaxed Sm5ErGa4 crystal (GGA-PBE). Values from VASP.

Space-group type = No. 12
Theoretical density = 6.9 Mg/m³
ΔE_f = -274 meV/atom

Geometry as Quantum ESPRESSO input:
```
&SYSTEM
  ibrav = 0, nat = 10, ntyp = 3
/
ATOMIC_SPECIES
Sm 150.36 Sm.upf
Er 167.26 Er.upf
Ga 69.72 Ga.upf
ATOMIC_POSITIONS crystal
Sm 0.000 0.000 0.000
Sm 0.314 0.314 0.149
Sm 0.349 0.349 0.708
Sm 0.651 0.651 0.292
Sm 0.686 0.686 0.851
Er 0.000 0.000 0.500
Ga 0.183 0.183 0.566
Ga 0.477 0.477 0.252
Ga 0.523 0.523 0.748
Ga 0.817 0.817 0.434
CELL_PARAMETERS angstrom
8.711 -1.871 0.000
8.711 1.871 0.000
-0.654 0.000 8.829
```


Record 11
Entry from the Alexandria database: a relaxed Sm5Er2Ga4 crystal (GGA-PBE). Values from VASP.

Space-group type = No. 71
Theoretical density = 6.5 Mg/m³
ΔE_f = -41 meV/atom

Geometry as Quantum ESPRESSO input:
```
&SYSTEM
  ibrav = 0, nat = 11, ntyp = 3
/
ATOMIC_SPECIES
Sm 150.36 Sm.upf
Er 167.26 Er.upf
Ga 69.72 Ga.upf
ATOMIC_POSITIONS crystal
Sm 0.000 0.000 0.000
Sm 0.182 0.351 0.832
Sm 0.481 0.649 0.832
Sm 0.519 0.351 0.168
Sm 0.818 0.649 0.168
Er 0.196 0.696 0.500
Er 0.804 0.304 0.500
Ga 0.141 0.500 0.641
Ga 0.407 0.907 0.500
Ga 0.593 0.093 0.500
Ga 0.859 0.500 0.359
CELL_PARAMETERS angstrom
-2.351 5.561 6.673
2.351 -5.561 6.673
2.351 5.561 -6.673
```


Record 12
Entry from the Alexandria database: a relaxed SmErGaSn crystal (GGA-PBE). Values from VASP.

Space-group type = No. 38
ΔE to the lowest computed polymorph = 0 meV per atom
Theoretical density = 8.0 Mg/m³
ΔE_f = -693 meV/atom

Geometry as Quantum ESPRESSO input:
```
&SYSTEM
  ibrav = 0, nat = 4, ntyp = 4
/
ATOMIC_SPECIES
Sm 150.36 Sm.upf
Er 167.26 Er.upf
Ga 69.72 Ga.upf
Sn 118.71 Sn.upf
ATOMIC_POSITIONS crystal
Sm 0.000 0.000 0.000
Er 0.500 0.278 0.278
Ga 0.500 0.550 0.550
Sn 0.000 0.717 0.717
CELL_PARAMETERS angstrom
4.178 0.000 0.000
0.000 2.247 5.612
0.000 -2.247 5.612
```


Record 13
Entry from the Alexandria database: a relaxed SmErGaSn crystal (GGA-PBE). Values from VASP.

Space-group type = No. 216
ΔE to the lowest computed polymorph = 154 meV per atom
Theoretical density = 8.2 Mg/m³
ΔE_f = -539 meV/atom

Geometry as Quantum ESPRESSO input:
```
&SYSTEM
  ibrav = 0, nat = 4, ntyp = 4
/
ATOMIC_SPECIES
Sm 150.36 Sm.upf
Er 167.26 Er.upf
Ga 69.72 Ga.upf
Sn 118.71 Sn.upf
ATOMIC_POSITIONS crystal
Sm 0.000 0.000 0.000
Er 0.500 0.500 0.500
Ga 0.750 0.750 0.750
Sn 0.250 0.250 0.250
CELL_PARAMETERS angstrom
0.000 3.712 3.712
3.712 0.000 3.712
3.712 3.712 0.000
```


Record 14
Entry from the Alexandria database: a relaxed SmErGaTc crystal (GGA-PBE). Values from VASP.

Space-group type = No. 216
Theoretical density = 9.2 Mg/m³
ΔE_f = -195 meV/atom

Geometry as Quantum ESPRESSO input:
```
&SYSTEM
  ibrav = 0, nat = 4, ntyp = 4
/
ATOMIC_SPECIES
Sm 150.36 Sm.upf
Er 167.26 Er.upf
Ga 69.72 Ga.upf
Tc 98.00 Tc.upf
ATOMIC_POSITIONS crystal
Sm 0.000 0.000 0.000
Er 0.500 0.500 0.500
Ga 0.750 0.750 0.750
Tc 0.250 0.250 0.250
CELL_PARAMETERS angstrom
0.000 3.523 3.523
3.523 0.000 3.523
3.523 3.523 0.000
```


Record 15
Entry from the Alexandria database: a relaxed SmErTlGa crystal (GGA-PBE). Values from VASP.

Space-group type = No. 99
ΔE to the lowest computed polymorph = 0 meV per atom
Theoretical density = 9.6 Mg/m³
ΔE_f = -457 meV/atom

Geometry as Quantum ESPRESSO input:
```
&SYSTEM
  ibrav = 0, nat = 4, ntyp = 4
/
ATOMIC_SPECIES
Sm 150.36 Sm.upf
Er 167.26 Er.upf
Tl 204.38 Tl.upf
Ga 69.72 Ga.upf
ATOMIC_POSITIONS crystal
Sm 0.000 0.000 0.000
Er 0.000 0.000 0.536
Tl 0.500 0.500 0.278
Ga 0.500 0.500 0.759
CELL_PARAMETERS angstrom
3.625 0.000 0.000
0.000 3.625 0.000
0.000 0.000 7.763
```


Record 16
Entry from the Alexandria database: a relaxed SmErTlGa crystal (GGA-PBE). Values from VASP.

Space-group type = No. 216
ΔE to the lowest computed polymorph = 31 meV per atom
Theoretical density = 9.6 Mg/m³
ΔE_f = -426 meV/atom

Geometry as Quantum ESPRESSO input:
```
&SYSTEM
  ibrav = 0, nat = 4, ntyp = 4
/
ATOMIC_SPECIES
Sm 150.36 Sm.upf
Er 167.26 Er.upf
Tl 204.38 Tl.upf
Ga 69.72 Ga.upf
ATOMIC_POSITIONS crystal
Sm 0.000 0.000 0.000
Er 0.500 0.500 0.500
Tl 0.750 0.750 0.750
Ga 0.250 0.250 0.250
CELL_PARAMETERS angstrom
0.000 3.716 3.716
3.716 0.000 3.716
3.716 3.716 0.000
```


Record 17
Entry from the Alexandria database: a relaxed SmErTmGa crystal (GGA-PBE). Values from VASP.

Space-group type = No. 216
Theoretical density = 8.7 Mg/m³
ΔE_f = -93 meV/atom

Geometry as Quantum ESPRESSO input:
```
&SYSTEM
  ibrav = 0, nat = 4, ntyp = 4
/
ATOMIC_SPECIES
Sm 150.36 Sm.upf
Er 167.26 Er.upf
Tm 168.93 Tm.upf
Ga 69.72 Ga.upf
ATOMIC_POSITIONS crystal
Sm 0.000 0.000 0.000
Er 0.500 0.500 0.500
Tm 0.250 0.250 0.250
Ga 0.750 0.750 0.750
CELL_PARAMETERS angstrom
0.000 3.759 3.759
3.759 0.000 3.759
3.759 3.759 0.000
```


Record 18
Entry from the Alexandria database: a relaxed Sm2Er2ZnGa4 crystal (GGA-PBE). Values from VASP.

Space-group type = No. 139
Theoretical density = 7.6 Mg/m³
ΔE_f = -255 meV/atom

Geometry as Quantum ESPRESSO input:
```
&SYSTEM
  ibrav = 0, nat = 9, ntyp = 4
/
ATOMIC_SPECIES
Sm 150.36 Sm.upf
Er 167.26 Er.upf
Zn 65.41 Zn.upf
Ga 69.72 Ga.upf
ATOMIC_POSITIONS crystal
Sm 0.189 0.189 0.000
Sm 0.811 0.811 0.000
Er 0.250 0.750 0.500
Er 0.750 0.250 0.500
Zn 0.500 0.500 0.000
Ga 0.256 0.256 0.513
Ga 0.256 0.744 0.000
Ga 0.744 0.256 0.000
Ga 0.744 0.744 0.487
CELL_PARAMETERS angstrom
-3.495 3.495 4.394
3.495 -3.495 4.394
3.495 3.495 -4.394
```


Record 19
Entry from the Alexandria database: a relaxed SmErZn2Ga2 crystal (GGA-PBE). Values from VASP.

Space-group type = No. 164
Theoretical density = 7.9 Mg/m³
ΔE_f = -565 meV/atom

Geometry as Quantum ESPRESSO input:
```
&SYSTEM
  ibrav = 0, nat = 6, ntyp = 4
/
ATOMIC_SPECIES
Sm 150.36 Sm.upf
Er 167.26 Er.upf
Zn 65.41 Zn.upf
Ga 69.72 Ga.upf
ATOMIC_POSITIONS crystal
Sm 0.000 0.000 0.000
Er 0.000 0.000 0.500
Zn 0.333 0.667 0.730
Zn 0.667 0.333 0.270
Ga 0.333 0.667 0.263
Ga 0.667 0.333 0.737
CELL_PARAMETERS angstrom
4.428 0.000 0.000
-2.214 3.835 0.000
0.000 0.000 7.276
```


Record 20
Entry from the Alexandria database: a relaxed SmErZnGa crystal (GGA-PBE). Values from VASP.

Space-group type = No. 216
Theoretical density = 8.1 Mg/m³
ΔE_f = -465 meV/atom

Geometry as Quantum ESPRESSO input:
```
&SYSTEM
  ibrav = 0, nat = 4, ntyp = 4
/
ATOMIC_SPECIES
Sm 150.36 Sm.upf
Er 167.26 Er.upf
Zn 65.41 Zn.upf
Ga 69.72 Ga.upf
ATOMIC_POSITIONS crystal
Sm 0.000 0.000 0.000
Er 0.500 0.500 0.500
Zn 0.250 0.250 0.250
Ga 0.750 0.750 0.750
CELL_PARAMETERS angstrom
0.000 3.596 3.596
3.596 0.000 3.596
3.596 3.596 0.000
```